## LaPaPt2 (PBE-GGA)

Data for a relaxed structure of LaPaPt2.

Cell: 7.595 7.595 7.595 Å, 30.81 30.81 30.81°
Atoms (fractional coordinates):
La (0.000, 0.000, 0.000)
Pa (0.500, 0.500, 0.500)
Pt (0.242, 0.242, 0.242)
Pt (0.758, 0.758, 0.758)

Properties
The calculated formation energy is -1027 meV per atom. For the calculated density, the calculation gives 12.4 g cm⁻³.

=====

## AcTb4Ho15 (PBE-GGA)

Data for a relaxed structure of AcTb4Ho15.

Cell: 5.025 5.025 25.102 Å, 90.00 90.00 90.00°
Atoms (fractional coordinates):
Ac (0.000, 0.000, 0.000)
Tb (0.000, 0.000, 0.203)
Tb (0.000, 0.000, 0.401)
Tb (0.000, 0.000, 0.599)
Tb (0.000, 0.000, 0.797)
Ho (0.000, 0.500, 0.105)
Ho (0.000, 0.500, 0.302)
Ho (0.000, 0.500, 0.500)
Ho (0.000, 0.500, 0.698)
Ho (0.000, 0.500, 0.895)
Ho (0.500, 0.000, 0.105)
Ho (0.500, 0.000, 0.302)
Ho (0.500, 0.000, 0.500)
Ho (0.500, 0.000, 0.698)
Ho (0.500, 0.000, 0.895)
Ho (0.500, 0.500, 0.000)
Ho (0.500, 0.500, 0.204)
Ho (0.500, 0.500, 0.401)
Ho (0.500, 0.500, 0.599)
Ho (0.500, 0.500, 0.796)

Properties
The calculated formation energy is 30 meV per atom. For the calculated density, the calculation gives 8.7 g cm⁻³.

=====

## PuZnIn2O8 (PBE-GGA)

Data for a relaxed structure of PuZnIn2O8.

Cell: 4.934 6.610 4.943 Å, 90.00 93.13 90.00°
Atoms (fractional coordinates):
Pu (0.000, 0.000, 0.000)
Zn (0.000, 0.500, 0.000)
In (0.500, 0.260, 0.500)
In (0.500, 0.740, 0.500)
O (0.184, 0.220, 0.818)
O (0.184, 0.780, 0.818)
O (0.290, 0.500, 0.291)
O (0.302, 0.000, 0.304)
O (0.698, 0.000, 0.696)
O (0.710, 0.500, 0.709)
O (0.816, 0.220, 0.182)
O (0.816, 0.780, 0.182)

Properties
For the calculated density, the calculation gives 6.9 g cm⁻³. The energy relative to the elements, uncorrected comes out at -1.600 eV/atom.

=====

## AcHoTm2Se4 (PBE-GGA)

Data for a relaxed structure of AcHoTm2Se4.

Cell: 7.060 4.046 7.440 Å, 90.00 108.24 90.00°
Atoms (fractional coordinates):
Ac (0.000, 0.000, 0.000)
Ho (0.500, 0.500, 0.000)
Tm (0.000, 0.500, 0.500)
Tm (0.500, 0.000, 0.500)
Se (0.256, 0.000, 0.734)
Se (0.270, 0.500, 0.275)
Se (0.730, 0.500, 0.725)
Se (0.744, 0.000, 0.266)

Properties
For the calculated density, the calculation gives 8.6 g cm⁻³. The energy relative to the elements, uncorrected comes out at -1.692 eV/atom.

=====

## TiMnW (PBE-GGA)

Data for a relaxed structure of TiMnW.

Cell: 4.231 4.231 2.766 Å, 90.00 90.00 120.00°
Atoms (fractional coordinates):
Ti (0.000, 0.000, 0.000)
Mn (0.667, 0.333, 0.672)
W (0.333, 0.667, 0.371)

Properties
The calculated formation energy is -20 meV per atom. For the calculated density, the calculation gives 11.1 g cm⁻³.

=====

## Ba2Y2Ag (PBE-GGA)

Data for a relaxed structure of Ba2Y2Ag.

Cell: 7.881 7.881 6.330 Å, 90.00 90.00 90.00°
Atoms (fractional coordinates):
Ba (0.174, 0.326, 0.000)
Ba (0.326, 0.826, 0.000)
Ba (0.674, 0.174, 0.000)
Ba (0.826, 0.674, 0.000)
Y (0.154, 0.654, 0.500)
Y (0.346, 0.154, 0.500)
Y (0.654, 0.846, 0.500)
Y (0.846, 0.346, 0.500)
Ag (0.000, 0.000, 0.500)
Ag (0.500, 0.500, 0.500)

Properties
The calculated formation energy is 176 meV per atom. For the calculated density, the calculation gives 4.7 g cm⁻³.

=====

## PmAsSe4 (PBE-GGA)

Data for a relaxed structure of PmAsSe4.

Cell: 7.578 7.578 7.167 Å, 108.91 108.91 55.01°
Atoms (fractional coordinates):
Pm (0.196, 0.804, 0.750)
Pm (0.804, 0.196, 0.250)
As (0.000, 0.500, 0.000)
As (0.500, 0.000, 0.500)
Se (0.119, 0.195, 0.649)
Se (0.195, 0.119, 0.149)
Se (0.383, 0.424, 0.952)
Se (0.424, 0.383, 0.452)
Se (0.576, 0.617, 0.548)
Se (0.617, 0.576, 0.048)
Se (0.805, 0.881, 0.851)
Se (0.881, 0.805, 0.351)

Properties
For the calculated density, the calculation gives 5.7 g cm⁻³. The energy relative to the elements, uncorrected comes out at -0.657 eV/atom.

=====

## NaCaMgIn (PBE-GGA)

Data for a relaxed structure of NaCaMgIn.

Cell: 5.302 5.302 5.302 Å, 60.00 60.00 60.00°
Atoms (fractional coordinates):
Na (0.000, 0.000, 0.000)
Ca (0.750, 0.750, 0.750)
Mg (0.250, 0.250, 0.250)
In (0.500, 0.500, 0.500)

Properties
The calculated formation energy is -192 meV per atom. For the calculated density, the calculation gives 3.2 g cm⁻³.

=====

## Ba3B3N5 (PBE-GGA)

Data for a relaxed structure of Ba3B3N5.

Cell: 6.673 7.383 7.827 Å, 101.47 100.68 91.24°
Atoms (fractional coordinates):
Ba (0.114, 0.293, 0.140)
Ba (0.283, 0.062, 0.635)
Ba (0.332, 0.554, 0.702)
Ba (0.668, 0.446, 0.298)
Ba (0.717, 0.938, 0.365)
Ba (0.886, 0.707, 0.860)
B (0.094, 0.703, 0.407)
B (0.213, 0.718, 0.206)
B (0.414, 0.906, 0.025)
B (0.586, 0.094, 0.975)
B (0.787, 0.282, 0.794)
B (0.906, 0.297, 0.593)
N (0.010, 0.315, 0.786)
N (0.015, 0.754, 0.565)
N (0.295, 0.762, 0.062)
N (0.320, 0.687, 0.383)
N (0.461, 0.106, 0.118)
N (0.539, 0.894, 0.882)
N (0.680, 0.313, 0.617)
N (0.705, 0.238, 0.938)
N (0.985, 0.246, 0.435)
N (0.990, 0.685, 0.214)

Properties
For the calculated density, the calculation gives 4.6 g cm⁻³. The energy relative to the elements, uncorrected comes out at -0.957 eV/atom.

=====

## Zr3TlCl (PBE-GGA)

Data for a relaxed structure of Zr3TlCl.

Cell: 4.832 4.832 4.832 Å, 90.00 90.00 90.00°
Atoms (fractional coordinates):
Zr (0.000, 0.000, 0.500)
Zr (0.000, 0.500, 0.000)
Zr (0.500, 0.000, 0.000)
Tl (0.500, 0.500, 0.500)
Cl (0.000, 0.000, 0.000)

Properties
For the calculated density, the calculation gives 7.6 g cm⁻³. The energy relative to the elements, uncorrected comes out at -0.019 eV/atom.

=====

## ZrIrPt (PBE-GGA)

Data for a relaxed structure of ZrIrPt.

Cell: 3.905 3.905 7.055 Å, 90.00 90.00 90.00°
Atoms (fractional coordinates):
Zr (0.250, 0.250, 0.149)
Zr (0.750, 0.750, 0.851)
Ir (0.250, 0.250, 0.776)
Ir (0.750, 0.750, 0.224)
Pt (0.250, 0.750, 0.500)
Pt (0.750, 0.250, 0.500)

Properties
The calculated formation energy is -703 meV per atom. For the calculated density, the calculation gives 14.8 g cm⁻³.

=====

## RbCu2ReC (PBE-GGA)

Data for a relaxed structure of RbCu2ReC.

Cell: 4.889 4.889 4.403 Å, 90.00 90.00 90.00°
Atoms (fractional coordinates):
Rb (0.000, 0.000, 0.000)
Cu (0.000, 0.500, 0.000)
Cu (0.500, 0.000, 0.000)
Re (0.500, 0.500, 0.500)
C (0.000, 0.000, 0.500)

Properties
The calculated formation energy is 3403 meV per atom. For the calculated density, the calculation gives 6.5 g cm⁻³.

=====

Number 1: spin magnetization 0.00 μB per formula unit. Number 2: spin magnetization 0.00 μB per formula unit. Number 3: spin magnetization 0.55 μB per formula unit. Number 4: spin magnetization 0.00 μB per formula unit. Number 5: spin magnetization 0.00 μB per formula unit. Number 6: spin magnetization 1.08 μB per formula unit. Number 7: spin magnetization 0.00 μB per formula unit. Number 8: spin magnetization 0.00 μB per formula unit. Number 9: spin magnetization 0.00 μB per formula unit. Number 10: spin magnetization 0.00 μB per formula unit. Number 11: spin magnetization 0.00 μB per formula unit. Number 12: spin magnetization 2.76 μB per formula unit.